No. 1
LaGa2Cu2: relaxed, GGA-PBEsol.

Output
- E_form (eV/f.u.) = -2.25
- SG = I4/mmm

Unit cell a=5.684 b=5.684 c=5.684 alpha=135.41 beta=135.41 gamma=64.90
Fractional positions:
La  0.000  0.000  0.000
Ga  0.370  0.370  0.000
Ga  0.630  0.630  0.000
Cu  0.250  0.750  0.500
Cu  0.750  0.250  0.500

=====

No. 2
SrLaGaCuO5: relaxed, GGA-PBEsol.

Output
- formation energy without anion corrections (eV/atom) = -2.295
- SG = Cm

Unit cell a=9.080 b=9.080 c=5.277 alpha=106.85 beta=106.85 gamma=130.37
Fractional positions:
Sr  0.140  0.860  0.000
Sr  0.860  0.140  0.000
La  0.388  0.682  0.038
La  0.682  0.388  0.038
Ga  0.074  0.074  0.616
Ga  0.442  0.442  0.476
Cu  0.268  0.768  0.518
Cu  0.768  0.268  0.518
O  0.020  0.511  0.017
O  0.026  0.514  0.521
O  0.041  0.844  0.414
O  0.128  0.128  0.022
O  0.394  0.394  0.791
O  0.458  0.660  0.521
O  0.511  0.020  0.017
O  0.514  0.026  0.521
O  0.660  0.458  0.521
O  0.844  0.041  0.414

=====

No. 3
Sr2LaGaCu2O7: relaxed, GGA-PBEsol.

Output
- formation energy without anion corrections (eV/atom) = -2.143
- SG = Ima2

Unit cell a=12.139 b=12.139 c=12.139 alpha=37.16 beta=153.66 gamma=154.26
Fractional positions:
Sr  0.018  0.153  0.170
Sr  0.018  0.347  0.365
Sr  0.982  0.653  0.635
Sr  0.982  0.847  0.830
La  0.003  0.003  0.000
La  0.003  0.503  0.500
Ga  0.395  0.715  0.180
Ga  0.535  0.215  0.820
Cu  0.502  0.581  0.077
Cu  0.502  0.925  0.421
Cu  0.504  0.081  0.579
Cu  0.504  0.425  0.923
O  0.003  0.324  0.820
O  0.003  0.683  0.180
O  0.004  0.184  0.684
O  0.004  0.819  0.320
O  0.239  0.867  0.871
O  0.483  0.208  0.629
O  0.483  0.354  0.775
O  0.500  0.319  0.316
O  0.500  0.684  0.680
O  0.503  0.183  0.180
O  0.503  0.824  0.820
O  0.578  0.708  0.225
O  0.578  0.854  0.371
O  0.996  0.367  0.129

=====

No. 4
LiGa2Cu2: relaxed, GGA-PBEsol.

Output
- E_form (eV/f.u.) = -0.88
- SG = P4/mbm

Unit cell a=7.236 b=7.236 c=2.654 alpha=90.00 beta=90.00 gamma=90.00
Fractional positions:
Li  0.000  0.000  0.000
Li  0.500  0.500  0.000
Ga  0.131  0.369  0.000
Ga  0.369  0.869  0.000
Ga  0.631  0.131  0.000
Ga  0.869  0.631  0.000
Cu  0.169  0.669  0.500
Cu  0.331  0.169  0.500
Cu  0.669  0.831  0.500
Cu  0.831  0.331  0.500

=====

No. 5
Lu2GaCu: relaxed, GGA-PBEsol.

Output
- E_form (eV/f.u.) = -1.82
- SG = Fm-3m

Unit cell a=4.802 b=4.802 c=4.802 alpha=60.00 beta=60.00 gamma=60.00
Fractional positions:
Lu  0.250  0.250  0.250
Lu  0.750  0.750  0.750
Ga  0.000  0.000  0.000
Cu  0.500  0.500  0.500

=====

No. 6
LuGaCu2: relaxed, GGA-PBEsol.

Output
- E_form (eV/f.u.) = -1.53
- SG = Fm-3m

Unit cell a=4.403 b=4.403 c=4.403 alpha=60.00 beta=60.00 gamma=60.00
Fractional positions:
Lu  0.000  0.000  0.000
Ga  0.500  0.500  0.500
Cu  0.250  0.250  0.250
Cu  0.750  0.750  0.750

=====

No. 7
LuGaCuO4: relaxed, GGA-PBEsol.

Output
- formation energy without anion corrections (eV/atom) = -2.114
- SG = R3m

Unit cell a=8.201 b=8.201 c=8.201 alpha=24.19 beta=24.19 gamma=24.19
Fractional positions:
Lu  0.000  0.000  0.000
Ga  0.790  0.790  0.790
Cu  0.215  0.215  0.215
O  0.128  0.128  0.128
O  0.296  0.296  0.296
O  0.712  0.712  0.712
O  0.871  0.871  0.871

=====

No. 8
MgGaCu: relaxed, GGA-PBEsol.

Output
- E_form (eV/f.u.) = -0.57
- SG = Amm2

Unit cell a=8.177 b=5.072 c=5.072 alpha=60.76 beta=90.00 gamma=90.00
Fractional positions:
Mg  0.180  0.000  0.000
Mg  0.297  0.330  0.330
Mg  0.703  0.330  0.330
Mg  0.820  0.000  0.000
Ga  0.000  0.507  0.507
Ga  0.500  0.330  0.833
Ga  0.500  0.833  0.330
Ga  0.500  0.835  0.835
Cu  0.000  0.010  0.505
Cu  0.000  0.505  0.010
Cu  0.251  0.669  0.669
Cu  0.749  0.669  0.669

=====

No. 9
Mg2Ga5Cu6: relaxed, GGA-PBEsol.

Output
- E_form (eV/f.u.) = -2.75
- SG = Pm-3

Unit cell a=8.162 b=8.162 c=8.162 alpha=90.00 beta=90.00 gamma=90.00
Fractional positions:
Mg  0.000  0.318  0.500
Mg  0.000  0.682  0.500
Mg  0.318  0.500  0.000
Mg  0.500  0.000  0.318
Mg  0.500  0.000  0.682
Mg  0.682  0.500  0.000
Ga  0.000  0.500  0.164
Ga  0.000  0.500  0.836
Ga  0.164  0.000  0.500
Ga  0.218  0.218  0.218
Ga  0.218  0.218  0.782
Ga  0.218  0.782  0.218
Ga  0.218  0.782  0.782
Ga  0.500  0.164  0.000
Ga  0.500  0.500  0.500
Ga  0.500  0.836  0.000
Ga  0.782  0.218  0.218
Ga  0.782  0.218  0.782
Ga  0.782  0.782  0.218
Ga  0.782  0.782  0.782
Ga  0.836  0.000  0.500
Cu  0.000  0.000  0.225
Cu  0.000  0.000  0.775
Cu  0.000  0.225  0.000
Cu  0.000  0.775  0.000
Cu  0.225  0.000  0.000
Cu  0.243  0.500  0.337
Cu  0.243  0.500  0.663
Cu  0.337  0.243  0.500
Cu  0.337  0.757  0.500
Cu  0.500  0.337  0.243
Cu  0.500  0.337  0.757
Cu  0.500  0.663  0.243
Cu  0.500  0.663  0.757
Cu  0.663  0.243  0.500
Cu  0.663  0.757  0.500
Cu  0.757  0.500  0.337
Cu  0.757  0.500  0.663
Cu  0.775  0.000  0.000

=====

No. 10
MgZnGa2Cu: relaxed, GGA-PBEsol.

Output
- E_form (eV/f.u.) = 1.00
- SG = P4/mmm

Unit cell a=4.512 b=4.512 c=4.892 alpha=90.00 beta=90.00 gamma=90.00
Fractional positions:
Mg  0.000  0.000  0.000
Zn  0.500  0.500  0.000
Ga  0.000  0.500  0.500
Ga  0.500  0.000  0.500
Cu  0.000  0.000  0.500

=====

No. 11
MnGa3Cu: relaxed, GGA-PBEsol.

Output
- E_form (eV/f.u.) = 2.62
- SG = Pm-3m

Unit cell a=4.535 b=4.535 c=4.535 alpha=90.00 beta=90.00 gamma=90.00
Fractional positions:
Mn  0.000  0.000  0.000
Ga  0.000  0.500  0.500
Ga  0.500  0.000  0.500
Ga  0.500  0.500  0.000
Cu  0.500  0.500  0.500

=====

No. 12
Mn4Ga3Cu2: relaxed, GGA-PBEsol.

Output
- E_form (eV/f.u.) = 0.04
- SG = P-6m2

Unit cell a=4.113 b=4.113 c=15.454 alpha=90.00 beta=90.00 gamma=120.00
Fractional positions:
Mn  0.000  0.000  0.085
Mn  0.000  0.000  0.244
Mn  0.000  0.000  0.414
Mn  0.000  0.000  0.586
Mn  0.000  0.000  0.756
Mn  0.000  0.000  0.915
Mn  0.667  0.333  0.159
Mn  0.667  0.333  0.841
Ga  0.333  0.667  0.171
Ga  0.333  0.667  0.500
Ga  0.333  0.667  0.829
Ga  0.667  0.333  0.000
Ga  0.667  0.333  0.324
Ga  0.667  0.333  0.676
Cu  0.333  0.667  0.000
Cu  0.333  0.667  0.337
Cu  0.333  0.667  0.663
Cu  0.667  0.333  0.500

=====

No. 13
TaMn2GaCu: relaxed, GGA-PBEsol.

Output
- E_form (eV/f.u.) = 4.95
- SG = P4/mmm

Unit cell a=4.378 b=4.378 c=4.226 alpha=90.00 beta=90.00 gamma=90.00
Fractional positions:
Ta  0.000  0.000  0.000
Mn  0.000  0.500  0.500
Mn  0.500  0.000  0.500
Ga  0.500  0.500  0.000
Cu  0.500  0.500  0.500

=====

No. 14
GaCuNO2: relaxed, GGA-PBEsol.

Output
- formation energy without anion corrections (eV/atom) = 0.377
- SG = P4/mmm

Unit cell a=3.790 b=3.790 c=3.863 alpha=90.00 beta=90.00 gamma=90.00
Fractional positions:
Ga  0.000  0.000  0.000
Cu  0.500  0.500  0.500
N  0.000  0.000  0.500
O  0.000  0.500  0.000
O  0.500  0.000  0.000

=====

No. 15
GaCuN2O: relaxed, GGA-PBEsol.

Output
- formation energy without anion corrections (eV/atom) = 1.118
- SG = P4/mmm

Unit cell a=3.720 b=3.720 c=3.787 alpha=90.00 beta=90.00 gamma=90.00
Fractional positions:
Ga  0.000  0.000  0.000
Cu  0.500  0.500  0.500
N  0.000  0.500  0.500
N  0.500  0.000  0.500
O  0.500  0.500  0.000

=====

No. 16
GaCuTeN2: relaxed, GGA-PBEsol.

Output
- formation energy without anion corrections (eV/atom) = 1.353
- SG = P4/mmm

Unit cell a=3.852 b=3.852 c=5.384 alpha=90.00 beta=90.00 gamma=90.00
Fractional positions:
Ga  0.000  0.000  0.000
Cu  0.500  0.500  0.500
Te  0.500  0.500  0.000
N  0.000  0.500  0.500
N  0.500  0.000  0.500

=====

No. 17
Na3GaCu: relaxed, GGA-PBEsol.

Output
- E_form (eV/f.u.) = 3.51
- SG = Pm-3m

Unit cell a=5.463 b=5.463 c=5.463 alpha=90.00 beta=90.00 gamma=90.00
Fractional positions:
Na  0.000  0.000  0.500
Na  0.000  0.500  0.000
Na  0.500  0.000  0.000
Ga  0.000  0.000  0.000
Cu  0.500  0.500  0.500

=====

No. 18
NaGa2Cu2: relaxed, GGA-PBEsol.

Output
- E_form (eV/f.u.) = -0.37
- SG = P4/mbm

Unit cell a=7.605 b=7.605 c=2.584 alpha=90.00 beta=90.00 gamma=90.00
Fractional positions:
Na  0.000  0.000  0.000
Na  0.500  0.500  0.000
Ga  0.134  0.366  0.000
Ga  0.366  0.866  0.000
Ga  0.634  0.134  0.000
Ga  0.866  0.634  0.000
Cu  0.161  0.661  0.500
Cu  0.339  0.161  0.500
Cu  0.661  0.839  0.500
Cu  0.839  0.339  0.500

=====

No. 19
NaGaCu2Re: relaxed, GGA-PBEsol.

Output
- E_form (eV/f.u.) = 8.01
- SG = P4/mmm

Unit cell a=4.621 b=4.621 c=5.351 alpha=90.00 beta=90.00 gamma=90.00
Fractional positions:
Na  0.000  0.000  0.000
Ga  0.500  0.500  0.000
Cu  0.000  0.500  0.500
Cu  0.500  0.000  0.500
Re  0.000  0.000  0.500

=====

No. 20
NbGaCu: relaxed, GGA-PBEsol.

Output
- E_form (eV/f.u.) = -0.78
- SG = Amm2

Unit cell a=7.841 b=5.006 c=5.006 alpha=59.90 beta=90.00 gamma=90.00
Fractional positions:
Nb  0.181  0.000  0.000
Nb  0.314  0.669  0.669
Nb  0.686  0.669  0.669
Nb  0.819  0.000  0.000
Ga  0.000  0.504  0.504
Ga  0.500  0.163  0.163
Ga  0.500  0.164  0.675
Ga  0.500  0.675  0.164
Cu  0.000  0.503  0.992
Cu  0.000  0.992  0.503
Cu  0.249  0.332  0.332
Cu  0.751  0.332  0.332

=====

Results for spin magnetization: 0.00; 0.00; 0.00; 0.00; 0.00; 0.00; 1.00; 0.00; 0.00; 0.00; 4.34; 6.30; 5.86; 3.02; 1.82; 2.89; 0.00; 0.00; 0.67; 0.00 (in μB per formula unit, following the order of the records).